[1]
14
Lattice="6.340 0.016 -0.150 2.115 5.977 -0.150 1.559 1.105 6.562" Properties=species:S:1:pos:R:3 comment="SmCrBrO4 (GGA+U, optimized geometry)" sg=C2/m pbc="T T T"
Sm 3.340 2.367 5.677
Sm 6.674 4.730 0.585
Cr 6.542 4.637 4.628
Cr 3.472 2.461 1.634
Br 0.533 0.377 1.609
Br 9.481 6.720 4.653
O 3.248 2.302 3.255
O 6.766 4.795 3.007
O 2.108 3.108 0.858
O 4.794 3.398 1.354
O 6.383 6.138 5.404
O 3.631 0.960 0.858
O 5.220 3.700 4.908
O 7.905 3.989 5.404

---

[2]
14
Lattice="-2.312 2.289 -5.347 -1.549 -4.702 -3.829 -6.667 -0.509 1.003" Properties=species:S:1:pos:R:3 comment="TbCrBrO4 (GGA+U, optimized geometry)" sg=C2/m pbc="T T T"
Tb -6.755 -1.011 -1.262
Tb -3.772 -1.912 -6.911
Cr -7.353 -1.915 -5.125
Cr -3.175 -1.008 -3.049
Br -1.701 -0.165 0.096
Br -8.827 -2.758 -8.269
O -4.550 -0.963 -2.149
O -5.978 -1.960 -6.024
O -2.033 -2.102 -2.429
O -3.552 -1.387 -4.605
O -8.216 -3.376 -5.190
O -2.312 0.453 -2.983
O -6.976 -1.536 -3.569
O -8.495 -0.821 -5.745

---

[3]
5
Lattice="4.308 0.000 0.000 0.000 4.914 0.000 0.000 0.000 4.308" Properties=species:S:1:pos:R:3 comment="TlCrBrO2 (GGA+U, optimized geometry)" sg=P4/mmm pbc="T T T"
Cr 0.000 2.457 0.000
Tl 2.154 2.457 2.154
O 0.000 0.000 2.154
O 2.154 0.000 0.000
Br 0.000 0.000 0.000

---

[4]
14
Lattice="6.249 0.024 -0.130 2.092 5.888 -0.130 1.557 1.103 6.483" Properties=species:S:1:pos:R:3 comment="YCrBrO4 (GGA+U, optimized geometry)" sg=C2/m pbc="T T T"
Y 3.310 2.346 5.633
Y 6.588 4.669 0.591
Cr 6.467 4.584 4.587
Cr 3.431 2.431 1.636
Br 0.519 0.368 1.587
Br 9.379 6.648 4.637
O 3.225 2.286 3.260
O 6.673 4.729 2.964
O 2.057 3.071 0.869
O 4.751 3.367 1.335
O 6.318 6.091 5.355
O 3.580 0.924 0.869
O 5.147 3.648 4.889
O 7.841 3.944 5.355

---

Total magnetic moment for the records above, in order: 0.0; 0.0; 4.8; 0.0 μB per formula unit
Energy for the records above, in order: -6.746; -6.737; -3.877; -6.983 eV/atom